Entry 1:
Entry from the Alexandria database: a relaxed structure of SnPBr (PBE).

Structure (POSCAR):
```
SnPBr
1.0
5.627 -1.724 0.000
5.627 1.724 0.000
-2.879 0.000 9.899
Sn P Br
2 2 2
Cartesian
0.000 0.000 0.000
5.848 0.000 5.742
-0.487 0.000 8.854
8.044 0.000 0.463
-0.213 0.000 3.562
2.479 0.000 6.092
```

## Properties
Formation energy (no corrections), eV per atom: -0.15
Space-group type: Cm (8)

***

Entry 2:
Entry from the Alexandria database: a relaxed structure of CoTc2W (PBE).

Structure (POSCAR):
```
CoTc2W
1.0
-1.861 1.861 8.794
1.861 -1.861 8.794
1.861 1.861 -8.794
Co Tc W
2 4 2
Cartesian
0.000 0.000 0.000
0.000 1.861 4.397
2.792 0.799 -2.198
0.799 0.931 2.198
-0.931 1.062 6.595
1.062 0.931 10.992
1.861 0.000 4.397
0.000 0.000 8.794
```

## Properties
Space-group type: I-42d (122)
ΔE_f, meV per atom: 722

***

Entry 3:
Entry from the Alexandria database: a relaxed structure of ZrZn2Bi (PBE).

Structure (POSCAR):
```
ZrZn2Bi
1.0
-3.916 3.916 2.904
3.916 -3.916 2.904
3.916 3.916 -2.904
Zr Zn Bi
2 4 2
Cartesian
0.000 0.000 0.000
0.000 3.916 1.452
5.874 1.944 -0.726
1.944 1.958 0.726
-1.958 1.972 2.178
1.972 1.958 3.631
3.916 0.000 1.452
0.000 0.000 2.904
```

## Properties
Space-group type: I-42d (122)
ΔE_f, meV per atom: 106

***

Entry 4:
Entry from the Alexandria database: a relaxed structure of ZnAgBr2 (PBE).

Structure (POSCAR):
```
ZnAgBr2
1.0
1.809 1.044 10.422
-1.809 1.044 10.422
0.000 -2.089 10.422
Zn Ag Br
1 1 2
Cartesian
0.000 0.000 0.000
0.000 0.000 15.633
0.000 0.000 11.975
0.000 0.000 19.291
```

## Properties
Formation energy (no corrections), eV per atom: -0.23
Space-group type: R-3m (166)

***

Entry 5:
Entry from the Alexandria database: a relaxed structure of CaGa2As2 (PBE).

Structure (POSCAR):
```
CaGa2As2
1.0
-2.023 2.023 6.878
2.023 -2.023 6.878
2.023 2.023 -6.878
Ca Ga As
1 2 2
Cartesian
0.000 0.000 0.000
2.023 0.000 3.439
0.000 2.023 3.439
0.000 0.000 5.583
0.000 0.000 8.173
```

## Properties
Space-group type: I4/mmm (139)
ΔE_f, meV per atom: -349

***

Entry 6:
Entry from the Alexandria database: a relaxed structure of PmCdPt2 (PBE).

Structure (POSCAR):
```
PmCdPt2
1.0
7.485 0.000 0.000
0.000 4.274 0.000
0.000 0.000 10.529
Pm Cd Pt
4 4 8
Cartesian
1.516 1.069 1.868
2.226 3.206 7.133
5.259 1.069 3.396
5.969 3.206 8.660
0.356 3.206 4.256
3.387 1.069 9.520
4.099 3.206 1.009
7.129 1.069 6.273
0.574 1.069 8.841
1.595 3.206 10.215
2.147 1.069 4.951
3.169 3.206 3.577
4.316 1.069 6.952
5.338 3.206 5.578
5.890 1.069 0.314
6.911 3.206 1.688
```

## Properties
Space-group type: Pnma (62)
ΔE_f, meV per atom: -797

***

The records above yield E values of -3.8488, -9.4754, -3.6378, -2.0963, -3.8196, -5.2335 eV per atom, respectively.